Record 1
4
Lattice="-3.133 0.025 0.909 -0.072 -3.254 -0.161 1.700 -3.592 5.958" Properties=species:S:1:pos:R:3 comment="FeTcSb2 | the Alexandria database | PBE-GGA | relaxed" spacegroup="No. 123" dos_ef_per_ev_cell=3.514 total_energy_ev_per_atom=-6.514 crystal_system=tetragonal de_polymorph_ev_per_atom=0.1083 pbc="T T T"
Sb 1.691 -3.590 5.926
Sb 0.823 -3.425 2.930
Tc -1.160 -1.699 1.904
Fe -0.346 -5.122 4.802



Record 2
20
Lattice="4.415 0.000 -0.752 0.000 7.258 0.000 0.039 0.000 13.564" Properties=species:S:1:pos:R:3 comment="Pu2Sn5Ir3 | the Alexandria database | PBE-GGA | relaxed" spacegroup="No. 36" dos_ef_per_ev_cell=46.780 formation_enthalpy_0k_ev_per_atom=-0.44 total_energy_ev_per_atom=-7.969 crystal_system=orthorhombic pbc="T T T"
Pu 2.315 1.949 0.255
Pu 2.139 5.578 12.556
Pu 0.761 5.158 4.469
Pu 3.693 1.529 8.342
Sn 1.315 6.720 7.722
Sn 0.547 1.886 3.214
Sn 1.811 2.842 10.629
Sn 1.308 3.597 7.678
Sn 3.906 5.515 9.598
Sn 4.237 0.748 11.541
Sn 2.643 6.471 2.183
Sn 3.138 3.091 5.090
Sn 3.146 7.226 5.134
Sn 0.216 4.377 1.270
Ir 2.685 3.705 2.430
Ir 3.452 5.160 6.928
Ir 1.002 1.531 5.884
Ir 1.769 0.076 10.382
Ir 0.221 7.171 1.295
Ir 4.233 3.542 11.517